K3PaI6Cl2 PBE relaxed; theoretical density = 3.2 g cm⁻³; formation energy without anion corrections = -1.318 eV/atom
1.0
-1.751 6.379 -3.806
0.656 -4.685 -8.155
-7.920 -2.420 6.203
Cl I K Pa
2 6 3 1
Direct
0.295 0.659 0.317 Cl
0.705 0.341 0.683 Cl
0.259 0.122 0.799 I
0.259 0.678 0.799 I
0.257 0.094 0.189 I
0.743 0.906 0.811 I
0.741 0.322 0.201 I
0.741 0.878 0.201 I
0.500 0.500 0.500 K
0.000 0.500 0.000 K
0.500 0.000 0.500 K
0.500 0.000 0.000 Pa